Compound: AgIO3
Source: Alexandria via LeMat-Bulk
Functional: SCAN
Structure: single point on PBEsol structure

The value obtained for the theoretical density is 6.288 Mg/m³. The calculation puts the uncorrected formation energy at -0.359 eV per atom.

It has space group Pca2_1 (No. 29), with a = 15.098 Å, b = 7.059 Å, c = 5.605 Å, α = 90.00°, β = 90.00° and γ = 90.00°. The asymmetric unit holds Ag at (0.204, 0.098, 0.000), Ag at (0.207, 0.630, 0.010), I at (0.083, 0.861, 0.484), I at (0.087, 0.366, 0.424), O at (0.069, 0.171, 0.203), O at (0.071, 0.564, 0.209), O at (0.099, 0.061, 0.693), O at (0.109, 0.663, 0.690), O at (0.195, 0.869, 0.346) and O at (0.208, 0.361, 0.400).